Entry 1:
PBE Tm7NiPb4, relaxed; crystal system = monoclinic; density of states at the Fermi level = 10.25 states/eV/f.u.; formation energy = -0.168 eV/atom
1.0
5.152 0.000 0.000
2.576 8.795 0.123
2.576 0.554 7.908
Tm Ni Pb
7 1 4
direct
0.777 0.865 0.581
0.223 0.135 0.419
0.067 0.725 0.140
0.933 0.275 0.860
0.358 0.557 0.726
0.500 0.000 0.000
0.642 0.443 0.274
0.000 0.000 0.000
0.583 0.222 0.613
0.417 0.778 0.387
0.721 0.651 0.906
0.279 0.349 0.094



Entry 2:
PBE Er5Ni2Sn, relaxed; crystal system = tetragonal; density of states at the Fermi level = 8.47 states/eV/f.u.; formation energy = -0.472 eV/atom
1.0
-0.520 7.309 -2.008
-7.302 -1.022 -1.830
2.140 -1.570 8.106
Er Ni Sn
10 4 2
direct
0.523 0.705 0.728
0.795 0.977 0.272
0.000 0.000 0.000
0.500 0.500 0.000
0.205 0.023 0.728
0.705 0.205 0.728
0.023 0.523 0.728
0.295 0.795 0.272
0.977 0.477 0.272
0.477 0.295 0.272
0.128 0.372 0.000
0.628 0.128 0.000
0.372 0.872 0.000
0.872 0.628 0.000
0.750 0.750 0.500
0.250 0.250 0.500



Entry 3:
PBE Nd7HoEr12, relaxed; relative energy among the computed polymorphs = 426.0 meV/atom; crystal system = cubic; density of states at the Fermi level = 28.27 states/eV/f.u.; formation energy = 0.657 eV/atom
1.0
9.191 0.000 -3.249
-4.595 7.959 -3.249
0.000 0.000 9.748
Nd Ho Er
7 1 12
direct
0.500 0.500 0.000
0.000 0.500 0.500
0.500 0.000 0.500
0.500 0.500 0.500
0.000 0.000 0.500
0.500 0.000 0.000
0.000 0.500 0.000
0.000 0.000 0.000
0.509 0.755 0.755
0.000 0.755 0.245
0.491 0.245 0.245
0.000 0.245 0.755
0.755 0.000 0.245
0.755 0.509 0.755
0.245 0.000 0.755
0.245 0.491 0.245
0.755 0.755 0.509
0.245 0.245 0.491
0.755 0.245 0.000
0.245 0.755 0.000



Entry 4:
PBE DyPa2Se4, relaxed; formation energy from raw total energies = -1378 meV per atom; crystal system = orthorhombic; density of states at the Fermi level = 9.75 states/eV/f.u.
1.0
3.860 0.000 0.000
-1.930 6.572 0.000
0.000 0.000 14.329
Dy Pa Se
2 4 8
direct
0.609 0.218 0.750
0.391 0.782 0.250
0.146 0.292 0.437
0.854 0.708 0.937
0.146 0.292 0.063
0.854 0.708 0.563
0.791 0.582 0.132
0.791 0.582 0.368
0.209 0.418 0.868
0.209 0.418 0.632
0.945 0.891 0.750
0.055 0.109 0.250
0.500 0.000 0.000
0.500 0.000 0.500



Entry 5:
PBE Na3TmBi2Se6, relaxed; formation energy from raw total energies = -1058 meV per atom; crystal system = monoclinic; density of states at the Fermi level = 0.00 states/eV/f.u.
1.0
-1.158 -6.982 1.682
5.285 3.720 3.337
-5.931 3.054 3.342
Na Tm Bi Se
3 1 2 6
direct
0.173 0.827 0.500
0.827 0.173 0.500
0.500 0.500 0.500
0.000 0.000 0.000
0.334 0.666 0.000
0.666 0.334 0.000
0.922 0.599 0.767
0.755 0.755 0.234
0.078 0.401 0.233
0.599 0.922 0.767
0.245 0.245 0.766
0.401 0.078 0.233



Entry 6:
PBE Ba2TcSbRu, relaxed; formation energy from raw total energies = 1051 meV per atom; crystal system = tetragonal; density of states at the Fermi level = 4.76 states/eV/f.u.
1.0
6.531 0.000 0.000
0.000 4.880 0.000
0.000 0.000 6.531
Tc Sb Ba Ru
1 1 2 1
direct
0.500 0.500 0.500
0.000 0.000 0.000
0.000 0.000 0.500
0.500 0.000 0.000
0.000 0.500 0.000



Entry 7:
PBE ZrAlAu, relaxed; crystal system = trigonal; density of states at the Fermi level = 1.85 states/eV/f.u.; formation energy = -0.230 eV/atom
1.0
-0.991 -0.329 2.911
-1.161 -1.789 -2.240
4.990 -4.699 1.167
Au Al Zr
1 1 1
direct
0.333 0.667 0.317
0.000 0.000 0.015
0.667 0.333 0.668



Entry 8:
PBE Tb7Ho3Tl, relaxed; crystal system = trigonal; density of states at the Fermi level = 16.17 states/eV/f.u.; formation energy = 0.146 eV/atom
1.0
8.503 0.000 0.000
0.000 6.966 0.000
0.000 -3.483 6.033
Tb Ho Tl
7 3 1
direct
0.121 0.168 0.832
0.121 0.168 0.336
0.111 0.667 0.333
0.447 0.830 0.170
0.447 0.340 0.170
0.447 0.830 0.660
0.121 0.664 0.832
0.783 0.501 0.499
0.783 0.501 0.002
0.783 0.998 0.499
0.453 0.333 0.667



Entry 9:
PBE PtCO3, relaxed; formation energy from raw total energies = 1496 meV per atom; crystal system = cubic; density of states at the Fermi level = 3.44 states/eV/f.u.
1.0
-0.108 -0.129 -3.856
-3.767 -0.833 0.133
-0.837 3.767 -0.102
C O Pt
1 3 1
direct
0.500 0.500 0.500
0.000 0.500 0.000
0.000 0.000 0.500
0.500 0.000 0.000
0.000 0.000 0.000



Entry 10:
PBE Cs2ZrAlF6, relaxed; formation energy from raw total energies = -2740 meV per atom; crystal system = tetragonal
1.0
6.423 0.000 0.000
0.000 6.423 0.000
3.211 3.211 6.028
Cs Al Zr F
2 1 1 6
direct
0.750 0.250 0.500
0.250 0.750 0.500
0.500 0.500 0.000
0.000 0.000 0.000
0.170 0.170 0.660
0.830 0.830 0.340
0.224 0.224 0.000
0.776 0.776 0.000
0.776 0.224 0.000
0.224 0.776 0.000



Entry 11:
PBE Hf2InSn, relaxed; relative energy among the computed polymorphs = 280.0 meV/atom; crystal system = trigonal; density of states at the Fermi level = 1.27 states/eV/f.u.; formation energy = 0.077 eV/atom
1.0
-1.360 1.015 3.479
-0.349 -2.658 2.792
6.418 0.946 4.385
Hf Sn In
2 1 1
direct
0.253 0.253 0.241
0.747 0.747 0.759
0.000 0.000 0.000
0.500 0.500 0.500



Entry 12:
PBE ZrCrHg, relaxed; relative energy among the computed polymorphs = 192.9 meV/atom; crystal system = trigonal; density of states at the Fermi level = 3.35 states/eV/f.u.; formation energy = 0.360 eV/atom
1.0
3.191 0.000 0.000
-1.595 2.763 0.000
0.000 0.000 6.876
Cr Hg Zr
1 1 1
direct
0.000 0.000 0.992
0.667 0.333 0.319
0.333 0.667 0.688